# GaSe2Cl (PBE-GGA, optimized geometry)
data_GaSe2Cl
_cell_length_a 6.8245
_cell_length_b 6.8245
_cell_length_c 6.8245
_cell_angle_alpha 90.00
_cell_angle_beta 90.00
_cell_angle_gamma 90.00
_space_group_name_H-M_alt 'F m -3 m'
_space_group_IT_number 225
_space_group_name_Hall '-F 4 2 3'
loop_
_atom_site_label
_atom_site_fract_x
_atom_site_fract_y
_atom_site_fract_z
Ga1 0.0000 0.0000 0.0000
Se1 0.2500 0.2500 0.2500
Cl1 0.0000 0.0000 0.5000
# Raw formation energy ... 321 meV/atom
# DFT total energy ... -10.56 eV/f.u.
# Energy above the lowest structure with this stoichiometry ... 589 meV/atom
# DOS at the Fermi energy ... 0.8313 states/eV per atom